# MgAg2Au6 (PBE, optimized geometry)
# Space group   C2/m, No. 12
# Polymorph energy (0 for the lowest one)   0.051 eV per atom
# DOS at the Fermi energy   3.01 states/eV/f.u.
# Magnetization   0.000 μB per formula unit
data_MgAg2Au6
_chemical_formula_sum 'Mg1 Ag2 Au6'
_space_group_name_H-M_alt 'P 1'
_space_group_IT_number 1
_cell_length_a 5.820
_cell_length_b 5.820
_cell_length_c 5.159
_cell_angle_alpha 102.68
_cell_angle_beta 102.68
_cell_angle_gamma 86.77
loop_
_space_group_symop_operation_xyz
'x,y,z'
loop_
_atom_site_label
_atom_site_type_symbol
_atom_site_fract_x
_atom_site_fract_y
_atom_site_fract_z
Mg1 Mg 0.000 0.000 0.000
Ag1 Ag 0.332 0.332 0.336
Ag2 Ag 0.668 0.668 0.664
Au1 Au 0.158 0.510 0.835
Au2 Au 0.173 0.827 0.500
Au3 Au 0.490 0.842 0.165
Au4 Au 0.510 0.158 0.835
Au5 Au 0.827 0.173 0.500
Au6 Au 0.842 0.490 0.165

***

# InCu2Pb (PBE, optimized geometry)
# Space group   C2/m, No. 12
# DFT total energy   -13.78 eV per formula unit
# DOS at the Fermi energy   1.00 states/eV/f.u.
# Magnetization   0.000 μB per formula unit
data_InCu2Pb
_chemical_formula_sum 'In1 Cu2 Pb1'
_space_group_name_H-M_alt 'P 1'
_space_group_IT_number 1
_cell_length_a 4.702
_cell_length_b 4.702
_cell_length_c 5.956
_cell_angle_alpha 105.48
_cell_angle_beta 105.48
_cell_angle_gamma 41.23
loop_
_space_group_symop_operation_xyz
'x,y,z'
loop_
_atom_site_label
_atom_site_type_symbol
_atom_site_fract_x
_atom_site_fract_y
_atom_site_fract_z
In1 In 0.000 0.000 0.000
Cu1 Cu 0.250 0.250 0.826
Cu2 Cu 0.750 0.750 0.174
Pb1 Pb 0.500 0.500 0.500

***

# TbTm2PuO8 (PBE, optimized geometry)
# Space group   P2/m, No. 10
# Formation energy (no corrections)   -3609 kJ/mol of formula units
# Magnetization   0.999 μB per formula unit
data_TbTm2PuO8
_chemical_formula_sum 'Tb1 Tm2 Pu1 O8'
_space_group_name_H-M_alt 'P 1'
_space_group_IT_number 1
_cell_length_a 5.047
_cell_length_b 6.924
_cell_length_c 5.047
_cell_angle_alpha 90.00
_cell_angle_beta 90.66
_cell_angle_gamma 90.00
loop_
_space_group_symop_operation_xyz
'x,y,z'
loop_
_atom_site_label
_atom_site_type_symbol
_atom_site_fract_x
_atom_site_fract_y
_atom_site_fract_z
Tb1 Tb 0.000 0.000 0.000
Tm1 Tm 0.500 0.240 0.500
Tm2 Tm 0.500 0.760 0.500
Pu1 Pu 0.000 0.500 0.000
O1 O 0.186 0.279 0.812
O2 O 0.186 0.721 0.812
O3 O 0.284 0.500 0.282
O4 O 0.312 0.000 0.310
O5 O 0.688 0.000 0.690
O6 O 0.716 0.500 0.718
O7 O 0.814 0.279 0.188
O8 O 0.814 0.721 0.188

***

# AlAgPt2 (PBE, optimized geometry)
# Space group   Cmmm, No. 65
# Polymorph energy (0 for the lowest one)   0.166 eV per atom
# DOS at the Fermi energy   1.04 states/eV/f.u.
# Magnetization   0.000 μB per formula unit
data_AlAgPt2
_chemical_formula_sum 'Al1 Ag1 Pt2'
_space_group_name_H-M_alt 'P 1'
_space_group_IT_number 1
_cell_length_a 4.704
_cell_length_b 4.704
_cell_length_c 2.922
_cell_angle_alpha 90.00
_cell_angle_beta 90.00
_cell_angle_gamma 104.89
loop_
_space_group_symop_operation_xyz
'x,y,z'
loop_
_atom_site_label
_atom_site_type_symbol
_atom_site_fract_x
_atom_site_fract_y
_atom_site_fract_z
Al1 Al 0.000 0.000 0.000
Ag1 Ag 0.500 0.500 0.000
Pt1 Pt 0.000 0.500 0.500
Pt2 Pt 0.500 0.000 0.500

***

# Pa2TiAl3 (PBE, optimized geometry)
# Space group   P6_3/mmc, No. 194
# Polymorph energy (0 for the lowest one)   0.000 eV per atom
# DOS at the Fermi energy   7.98 states/eV/f.u.
# Magnetization   0.001 μB per formula unit
data_Pa2TiAl3
_chemical_formula_sum 'Pa4 Ti2 Al6'
_space_group_name_H-M_alt 'P 1'
_space_group_IT_number 1
_cell_length_a 5.392
_cell_length_b 5.392
_cell_length_c 9.372
_cell_angle_alpha 90.00
_cell_angle_beta 90.00
_cell_angle_gamma 120.00
loop_
_space_group_symop_operation_xyz
'x,y,z'
loop_
_atom_site_label
_atom_site_type_symbol
_atom_site_fract_x
_atom_site_fract_y
_atom_site_fract_z
Pa1 Pa 0.333 0.667 0.042
Pa2 Pa 0.333 0.667 0.458
Pa3 Pa 0.667 0.333 0.542
Pa4 Pa 0.667 0.333 0.958
Ti1 Ti 0.000 0.000 0.000
Ti2 Ti 0.000 0.000 0.500
Al1 Al 0.167 0.334 0.750
Al2 Al 0.167 0.833 0.750
Al3 Al 0.334 0.167 0.250
Al4 Al 0.666 0.833 0.750
Al5 Al 0.833 0.167 0.250
Al6 Al 0.833 0.666 0.250

***

# Sr3SiTc (PBE, optimized geometry)
# Space group   Pm-3m, No. 221
# Polymorph energy (0 for the lowest one)   0.000 eV per atom
# Formation energy (no corrections)   368 kJ/mol of formula units
# DOS at the Fermi energy   2.41 states/eV/f.u.
# Magnetization   3.243 μB per formula unit
data_Sr3SiTc
_chemical_formula_sum 'Sr3 Si1 Tc1'
_space_group_name_H-M_alt 'P 1'
_space_group_IT_number 1
_cell_length_a 5.970
_cell_length_b 5.970
_cell_length_c 5.970
_cell_angle_alpha 90.00
_cell_angle_beta 90.00
_cell_angle_gamma 90.00
loop_
_space_group_symop_operation_xyz
'x,y,z'
loop_
_atom_site_label
_atom_site_type_symbol
_atom_site_fract_x
_atom_site_fract_y
_atom_site_fract_z
Sr1 Sr 0.000 0.000 0.500
Sr2 Sr 0.000 0.500 0.000
Sr3 Sr 0.500 0.000 0.000
Si1 Si 0.000 0.000 0.000
Tc1 Tc 0.500 0.500 0.500

***

# LiGaCo (PBE, optimized geometry)
# Space group   P-1, No. 2
# DFT total energy   -12.57 eV per formula unit
# DOS at the Fermi energy   1.73 states/eV/f.u.
# Magnetization   0.252 μB per formula unit
data_LiGaCo
_chemical_formula_sum 'Li4 Ga4 Co4'
_space_group_name_H-M_alt 'P 1'
_space_group_IT_number 1
_cell_length_a 2.829
_cell_length_b 6.696
_cell_length_c 8.400
_cell_angle_alpha 80.29
_cell_angle_beta 80.45
_cell_angle_gamma 77.99
loop_
_space_group_symop_operation_xyz
'x,y,z'
loop_
_atom_site_label
_atom_site_type_symbol
_atom_site_fract_x
_atom_site_fract_y
_atom_site_fract_z
Li1 Li 0.116 0.390 0.381
Li2 Li 0.312 0.500 0.874
Li3 Li 0.688 0.500 0.126
Li4 Li 0.884 0.610 0.619
Ga1 Ga 0.363 0.147 0.128
Ga2 Ga 0.439 0.761 0.361
Ga3 Ga 0.561 0.239 0.639
Ga4 Ga 0.637 0.853 0.872
Co1 Co 0.026 0.830 0.119
Co2 Co 0.223 0.933 0.619
Co3 Co 0.777 0.067 0.381
Co4 Co 0.974 0.170 0.881

***

# Y2U2S7 (PBE, optimized geometry)
# Space group   P-4m2, No. 115
# Formation energy (no corrections)   -1673 kJ/mol of formula units
# DOS at the Fermi energy   13.74 states/eV/f.u.
# Magnetization   4.002 μB per formula unit
data_Y2U2S7
_chemical_formula_sum 'Y2 U2 S7'
_space_group_name_H-M_alt 'P 1'
_space_group_IT_number 1
_cell_length_a 4.585
_cell_length_b 4.585
_cell_length_c 12.984
_cell_angle_alpha 90.00
_cell_angle_beta 90.00
_cell_angle_gamma 90.00
loop_
_space_group_symop_operation_xyz
'x,y,z'
loop_
_atom_site_label
_atom_site_type_symbol
_atom_site_fract_x
_atom_site_fract_y
_atom_site_fract_z
Y1 Y 0.000 0.500 0.140
Y2 Y 0.500 0.000 0.860
U1 U 0.000 0.500 0.623
U2 U 0.500 0.000 0.377
S1 S 0.000 0.000 0.240
S2 S 0.000 0.000 0.500
S3 S 0.000 0.000 0.760
S4 S 0.500 0.500 0.000
S5 S 0.500 0.500 0.260
S6 S 0.500 0.500 0.500
S7 S 0.500 0.500 0.740

***

# CsSnHCl2 (PBE, optimized geometry)
# Space group   P4/mmm, No. 123
# DFT total energy   -16.58 eV per formula unit
# DOS at the Fermi energy   0.12 states/eV/f.u.
# Magnetization   0.000 μB per formula unit
data_CsSnHCl2
_chemical_formula_sum 'Cs1 Sn1 H1 Cl2'
_space_group_name_H-M_alt 'P 1'
_space_group_IT_number 1
_cell_length_a 5.728
_cell_length_b 5.728
_cell_length_c 4.442
_cell_angle_alpha 90.00
_cell_angle_beta 90.00
_cell_angle_gamma 90.00
loop_
_space_group_symop_operation_xyz
'x,y,z'
loop_
_atom_site_label
_atom_site_type_symbol
_atom_site_fract_x
_atom_site_fract_y
_atom_site_fract_z
Cs1 Cs 0.000 0.000 0.000
Sn1 Sn 0.500 0.500 0.500
H1 H 0.500 0.500 0.000
Cl1 Cl 0.000 0.500 0.500
Cl2 Cl 0.500 0.000 0.500

***

# YInRu3 (PBE, optimized geometry)
# Space group   Pm-3m, No. 221
# Polymorph energy (0 for the lowest one)   0.000 eV per atom
# DOS at the Fermi energy   6.44 states/eV/f.u.
# Magnetization   3.872 μB per formula unit
data_YInRu3
_chemical_formula_sum 'Y1 In1 Ru3'
_space_group_name_H-M_alt 'P 1'
_space_group_IT_number 1
_cell_length_a 4.870
_cell_length_b 4.870
_cell_length_c 4.870
_cell_angle_alpha 90.00
_cell_angle_beta 90.00
_cell_angle_gamma 90.00
loop_
_space_group_symop_operation_xyz
'x,y,z'
loop_
_atom_site_label
_atom_site_type_symbol
_atom_site_fract_x
_atom_site_fract_y
_atom_site_fract_z
Y1 Y 0.000 0.000 0.000
In1 In 0.500 0.500 0.500
Ru1 Ru 0.000 0.500 0.500
Ru2 Ru 0.500 0.000 0.500
Ru3 Ru 0.500 0.500 0.000

***

# FeReAs2Br (PBE, optimized geometry)
# Space group   P4/mmm, No. 123
# Formation energy (no corrections)   476 kJ/mol of formula units
# DOS at the Fermi energy   4.73 states/eV/f.u.
# Magnetization   3.705 μB per formula unit
data_FeReAs2Br
_chemical_formula_sum 'Fe1 Re1 As2 Br1'
_space_group_name_H-M_alt 'P 1'
_space_group_IT_number 1
_cell_length_a 4.727
_cell_length_b 4.727
_cell_length_c 5.521
_cell_angle_alpha 90.00
_cell_angle_beta 90.00
_cell_angle_gamma 90.00
loop_
_space_group_symop_operation_xyz
'x,y,z'
loop_
_atom_site_label
_atom_site_type_symbol
_atom_site_fract_x
_atom_site_fract_y
_atom_site_fract_z
Fe1 Fe 0.000 0.000 0.000
Re1 Re 0.500 0.500 0.500
As1 As 0.000 0.500 0.500
As2 As 0.500 0.000 0.500
Br1 Br 0.500 0.500 0.000

***

# SrMoPtBr2 (PBE, optimized geometry)
# Space group   P4/mmm, No. 123
# Formation energy (no corrections)   196 kJ/mol of formula units
# DOS at the Fermi energy   7.71 states/eV/f.u.
# Magnetization   0.000 μB per formula unit
data_SrMoPtBr2
_chemical_formula_sum 'Sr1 Mo1 Pt1 Br2'
_space_group_name_H-M_alt 'P 1'
_space_group_IT_number 1
_cell_length_a 4.802
_cell_length_b 4.802
_cell_length_c 6.920
_cell_angle_alpha 90.00
_cell_angle_beta 90.00
_cell_angle_gamma 90.00
loop_
_space_group_symop_operation_xyz
'x,y,z'
loop_
_atom_site_label
_atom_site_type_symbol
_atom_site_fract_x
_atom_site_fract_y
_atom_site_fract_z
Sr1 Sr 0.000 0.000 0.000
Mo1 Mo 0.000 0.000 0.500
Pt1 Pt 0.500 0.500 0.000
Br1 Br 0.000 0.500 0.500
Br2 Br 0.500 0.000 0.500

***

Q: Which theoretical density values were calculated for the entries above? A: 14.2, 9.0, 8.2, 14.0, 8.3, 3.0, 5.9, 5.3, 3.7, 7.3, 6.4, 5.6, in g/cm³.